No. 1
PaSbAs2 | PBE | optimized geometry

Values from the calculation:
Raw formation energy (eV/atom): -0.49
ΔE to the lowest computed polymorph (meV/atom): 0.0
Crystal system: tetragonal
Total magnetization (μB per atom): 0.000
VASP energy (eV per formula unit): -24.86
Mass density (g/cm³): 9.58

Cell lengths 4.649, 4.649, 4.030 Å; angles 90.00, 90.00, 90.00 degrees
Fractional coordinates of all 4 atoms:
Pa: 0.000 0.000 0.000
Sb: 0.500 0.500 0.000
As: 0.000 0.500 0.500
As: 0.500 0.000 0.500

No. 2
PaSbAs | PBE | optimized geometry

Values from the calculation:
Raw formation energy (eV/atom): -0.35
ΔE to the lowest computed polymorph (meV/atom): 380.4
Crystal system: hexagonal
Total magnetization (μB per atom): 0.000
VASP energy (eV per formula unit): -19.30
Mass density (g/cm³): 9.00

Cell lengths 4.751, 4.751, 4.036 Å; angles 90.00, 90.00, 120.00 degrees
Fractional coordinates of all 3 atoms:
Pa: 0.000 0.000 0.000
Sb: 0.667 0.333 0.500
As: 0.333 0.667 0.000

What is the mass density in the first record?
9.58 g/cm³